Material: Ac7SiPb4
Method: DFT, PBE
State: relaxed

The structure in CIF format:
```
data_Ac7SiPb4
_cell_length_a 16.859
_cell_length_b 6.127
_cell_length_c 10.415
_cell_angle_alpha 90.00
_cell_angle_beta 121.06
_cell_angle_gamma 90.00
_symmetry_space_group_name_H-M 'C 1 2/m 1'
_symmetry_Int_Tables_number 12
_symmetry_space_group_name_Hall '-C 2y'
loop_
_atom_site_label
_atom_site_fract_x
_atom_site_fract_y
_atom_site_fract_z
Ac1 0.000 0.000 0.000
Ac2 0.055 0.500 0.328
Ac3 0.171 0.000 0.554
Ac4 0.178 0.500 0.982
Si1 0.000 0.500 0.000
Pb1 0.070 0.000 0.754
Pb2 0.238 0.000 0.283
```

Summary:
The total magnetization is 0.000 μB/f.u. As for the calculated total energy: -4.443 eV/atom. The uncorrected formation energy comes out at -358 meV/atom.